# 1
First-principles (GGA-PBE) data for a geometry-optimized TmZnCo structure, as listed in the Alexandria database.

Cell lengths 5.444, 5.444, 5.444 Å; angles 129.65, 91.14, 110.00 degrees
Fractional positions:
1 Tm 0.000 0.000 0.000
2 Tm 0.500 0.000 0.500
3 Zn 0.359 0.609 0.750
4 Zn 0.641 0.391 0.250
5 Co 0.000 0.000 0.500
6 Co 0.000 0.500 0.000

- Symmetry: Imma, No. 74
- Final energy: -4.479 eV per atom
- Energy relative to the elements: -0.6 eV/f.u.

# 2
First-principles (GGA-PBE) data for a geometry-optimized CsNa5Cd2 structure, as listed in the Alexandria database.

Cell lengths 8.385, 8.385, 8.385 Å; angles 144.42, 108.02, 82.96 degrees
Fractional positions:
1 Cs 0.000 0.000 0.000
2 Na 0.154 0.337 0.817
3 Na 0.480 0.663 0.817
4 Na 0.500 0.000 0.500
5 Na 0.520 0.337 0.183
6 Na 0.846 0.663 0.183
7 Cd 0.245 0.745 0.500
8 Cd 0.755 0.255 0.500

- Symmetry: Immm, No. 71
- Final energy: -1.179 eV per atom
- Energy relative to the elements: -0.2 eV/f.u.

# 3
First-principles (GGA-PBE) data for a geometry-optimized CsLiAs3 structure, as listed in the Alexandria database.

Cell lengths 5.824, 5.824, 5.824 Å; angles 90.00, 90.00, 90.00 degrees
Fractional positions:
1 Cs 0.000 0.000 0.000
2 Li 0.500 0.500 0.500
3 As 0.000 0.000 0.500
4 As 0.000 0.500 0.000
5 As 0.500 0.000 0.000

- Symmetry: Pm-3m, No. 221
- Final energy: -1.942 eV per atom
- Energy relative to the elements: 7.0 eV/f.u.